# La7Dy2Sc2 (PBE, optimized geometry)
# Polymorph energy (0 for the lowest one): 0.006 eV/atom
# Total magnetization: 0.000 μB/atom
data_La7Dy2Sc2
_cell_length_a 11.144
_cell_length_b 11.610
_cell_length_c 6.152
_cell_angle_alpha 90.00
_cell_angle_beta 111.00
_cell_angle_gamma 90.00
_symmetry_space_group_name_H-M 'C 1 2/m 1'
_symmetry_Int_Tables_number 12
loop_
_symmetry_equiv_pos_as_xyz
'x,y,z'
'-x,-y,-z'
'-x,y,-z'
'x,-y,z'
'x+1/2,y+1/2,z'
'-x+1/2,-y+1/2,-z'
'-x+1/2,y+1/2,-z'
'x+1/2,-y+1/2,z'
loop_
_atom_site_label
_atom_site_type_symbol
_atom_site_fract_x
_atom_site_fract_y
_atom_site_fract_z
La1 La 0.000 0.000 0.000
La2 La 0.075 0.500 0.796
La3 La 0.185 0.236 0.190
Dy1 Dy 0.215 0.000 0.588
Sc1 Sc 0.000 0.217 0.500